A plane-wave DFT calculation with GGA-PBE was carried out for a relaxed structure of CuSICl2.

abc: 5.4560 5.4560 5.1486
angles: 90.00 90.00 90.00
Space group P4/mmm (No. 123)
Symmetry-distinct sites (fractional):
Cu 0.0000 0.0000 0.0000
S 0.5000 0.5000 0.0000
I 0.5000 0.5000 0.5000
Cl 0.0000 0.5000 0.5000

Summary:
- energy relative to the elements, uncorrected (eV per atom) = 0.684
- excess energy over the best structure of this formula in the dataset (eV/f.u.) = 2.56
- Fermi-level density of states (states/eV per cell) = 2.339
- density (g cm⁻³) = 3.179